No. 1
The following is a DFT calculation (PBE) of an optimized crystal structure of Tm3Mg12Hg5.

abc: 17.114 17.114 17.114
angles: 90.00 90.00 90.00
Space group Ia-3d (No. 230)
Inequivalent atoms, fractional coordinates:
Tm: 0.000 0.250 0.125 (multiplicity 24)
Mg: 0.021 0.070 0.646 (multiplicity 96)
Hg: 0.000 0.000 0.000 (multiplicity 16)
Hg: 0.000 0.250 0.375 (multiplicity 24)

Output
- formation energy from the elements (kcal/mol of atoms) = 7.14
- total DFT energy (no corrections) (eV/atom) = -1.393

=====

No. 2
The following is a DFT calculation (PBE) of an optimized crystal structure of Pr3CuS5.

abc: 7.702 7.702 13.196
angles: 90.00 90.00 90.00
Space group I4/mcm (No. 140)
Inequivalent atoms, fractional coordinates:
Pr: 0.000 0.000 0.250 (multiplicity 4)
Pr: 0.157 0.343 0.000 (multiplicity 8)
Cu: 0.000 0.500 0.250 (multiplicity 4)
S: 0.000 0.000 0.000 (multiplicity 4)
S: 0.163 0.337 0.355 (multiplicity 16)

Output
- ΔE_f (raw) (eV/atom) = -1.67
- total DFT energy (no corrections) (eV/atom) = -6.008

=====

No. 3
The following is a DFT calculation (PBE) of an optimized crystal structure of Na3AcCe2Te6.

abc: 8.058 13.962 7.980
angles: 90.00 109.71 90.00
Space group C2/m (No. 12)
Inequivalent atoms, fractional coordinates:
Na: 0.000 0.000 0.000 (multiplicity 2)
Na: 0.000 0.336 0.000 (multiplicity 4)
Ac: 0.000 0.500 0.500 (multiplicity 2)
Ce: 0.000 0.167 0.500 (multiplicity 4)
Te: 0.238 0.000 0.743 (multiplicity 4)
Te: 0.247 0.172 0.258 (multiplicity 8)

Output
- ΔE_f (raw) (eV/atom) = -1.30
- total DFT energy (no corrections) (eV/atom) = -4.532

=====

No. 4
The following is a DFT calculation (PBE) of an optimized crystal structure of Rb2VCrI6.

abc: 8.142 8.142 11.492
angles: 90.00 90.00 90.00
Space group I4/mmm (No. 139)
Inequivalent atoms, fractional coordinates:
Rb: 0.000 0.500 0.250 (multiplicity 4)
V: 0.000 0.000 0.000 (multiplicity 2)
Cr: 0.000 0.000 0.500 (multiplicity 2)
I: 0.000 0.000 0.249 (multiplicity 4)
I: 0.248 0.248 0.000 (multiplicity 8)

Output
- ΔE_f (raw) (eV/atom) = -0.73
- total DFT energy (no corrections) (eV/atom) = -3.728

=====

No. 5
The following is a DFT calculation (PBE) of an optimized crystal structure of TiAgHg2.

abc: 3.076 3.076 8.162
angles: 90.00 90.00 90.00
Space group P4/mmm (No. 123)
Inequivalent atoms, fractional coordinates:
Ti: 0.000 0.000 0.000 (multiplicity 1)
Ag: 0.000 0.000 0.500 (multiplicity 1)
Hg: 0.500 0.500 0.242 (multiplicity 2)

Output
- formation energy from the elements (kcal/mol of atoms) = 0.77
- total DFT energy (no corrections) (eV/atom) = -2.804

=====

No. 6
The following is a DFT calculation (PBE) of an optimized crystal structure of Be4ZnSe.

abc: 6.524 6.524 6.524
angles: 90.00 90.00 90.00
Space group F-43m (No. 216)
Inequivalent atoms, fractional coordinates:
Be: 0.124 0.124 0.376 (multiplicity 16)
Zn: 0.250 0.250 0.750 (multiplicity 4)
Se: 0.000 0.000 0.000 (multiplicity 4)

Output
- ΔE_f (raw) (eV/atom) = 0.41
- total DFT energy (no corrections) (eV/atom) = -2.869

=====

No. 7
The following is a DFT calculation (PBE) of an optimized crystal structure of Rb2TlPd2.

abc: 5.085 5.085 13.182
angles: 90.00 90.00 90.00
Space group I4/mmm (No. 139)
Inequivalent atoms, fractional coordinates:
Rb: 0.000 0.500 0.250 (multiplicity 4)
Tl: 0.000 0.000 0.000 (multiplicity 2)
Pd: 0.000 0.000 0.402 (multiplicity 4)

Output
- formation energy from the elements (kcal/mol of atoms) = 9.58
- total DFT energy (no corrections) (eV/atom) = -2.522

=====

No. 8
The following is a DFT calculation (PBE) of an optimized crystal structure of As2IrCl.

abc: 3.036 5.338 9.033
angles: 90.00 90.00 90.00
Space group Cmm2 (No. 35)
Inequivalent atoms, fractional coordinates:
As: 0.000 0.000 0.000 (multiplicity 2)
As: 0.000 0.500 0.294 (multiplicity 2)
Ir: 0.000 0.500 0.789 (multiplicity 2)
Cl: 0.000 0.000 0.557 (multiplicity 2)

Output
- ΔE_f (raw) (eV/atom) = 0.41
- total DFT energy (no corrections) (eV/atom) = -4.587